[1]
CsReAu3S4 after structural relaxation. Source: the Open Quantum Materials Database, functional GGA-PBE.

Results
total magnetic moment: 1.44 μB per formula unit
DFT total energy: -4.427 eV/atom

Cell: 6.393 6.393 6.393 Å, 90.00 90.00 90.00°
Fractional coordinates of all 9 atoms:
Au  0.500  0.500  0.000
Au  0.500  0.000  0.500
Au  0.000  0.500  0.500
S  0.704  0.296  0.704
S  0.296  0.704  0.704
S  0.704  0.704  0.296
S  0.296  0.296  0.296
Cs  0.000  0.000  0.000
Re  0.500  0.500  0.500

***

[2]
CsReTe2AuS after structural relaxation. Source: the Open Quantum Materials Database, functional GGA-PBE.

Results
total magnetic moment: 2.55 μB per formula unit
DFT total energy: -4.479 eV/atom

Cell: 9.073 9.073 10.082 Å, 90.00 90.00 154.02°
Fractional coordinates of all 12 atoms:
Re  0.000  0.000  0.500
Re  0.000  0.000  0.000
S  0.041  0.959  0.750
S  0.959  0.041  0.250
Au  0.547  0.453  0.250
Au  0.453  0.547  0.750
Cs  0.233  0.767  0.250
Cs  0.767  0.233  0.750
Te  0.392  0.608  0.507
Te  0.608  0.392  0.493
Te  0.392  0.608  0.993
Te  0.608  0.392  0.007

***

[3]
CsReTeAuS2 after structural relaxation. Source: the Open Quantum Materials Database, functional GGA-PBE.

Results
total magnetic moment: 2.32 μB per formula unit
DFT total energy: -4.831 eV/atom

Cell: 9.119 9.119 10.445 Å, 90.00 90.00 156.85°
Fractional coordinates of all 12 atoms:
Au  0.596  0.404  0.750
Au  0.404  0.596  0.250
S  0.408  0.592  0.026
S  0.592  0.408  0.526
S  0.592  0.408  0.974
S  0.408  0.592  0.474
Re  0.000  0.000  0.000
Re  0.000  0.000  0.500
Cs  0.263  0.737  0.750
Cs  0.737  0.263  0.250
Te  0.946  0.054  0.750
Te  0.054  0.946  0.250

***

[4]
CsReAuSe3 after structural relaxation. Source: the Open Quantum Materials Database, functional GGA-PBE.

Results
total magnetic moment: 2.48 μB per formula unit
DFT total energy: -4.637 eV/atom

Cell: 8.426 8.426 10.243 Å, 90.00 90.00 153.34°
Fractional coordinates of all 12 atoms:
Se  0.394  0.606  0.482
Se  0.394  0.606  0.018
Se  0.059  0.941  0.250
Se  0.606  0.394  0.518
Se  0.941  0.059  0.750
Se  0.606  0.394  0.982
Cs  0.757  0.243  0.250
Cs  0.243  0.757  0.750
Re  0.000  0.000  0.500
Re  0.000  0.000  0.000
Au  0.555  0.445  0.750
Au  0.445  0.555  0.250

***

[5]
CsReTe2AuSe after structural relaxation. Source: the Open Quantum Materials Database, functional GGA-PBE.

Results
total magnetic moment: 2.45 μB per formula unit
DFT total energy: -4.400 eV/atom

Cell: 8.854 8.854 10.488 Å, 90.00 90.00 153.41°
Fractional coordinates of all 12 atoms:
Au  0.451  0.549  0.250
Au  0.549  0.451  0.750
Te  0.391  0.609  0.485
Te  0.609  0.391  0.515
Te  0.609  0.391  0.985
Te  0.391  0.609  0.015
Se  0.949  0.051  0.750
Se  0.051  0.949  0.250
Cs  0.761  0.239  0.250
Cs  0.239  0.761  0.750
Re  0.000  0.000  0.500
Re  0.000  0.000  0.000

***

[6]
CsAuS after structural relaxation. Source: the Open Quantum Materials Database, functional GGA-PBE.

Results
DFT total energy: -3.548 eV/atom

Cell: 6.174 6.443 6.966 Å, 90.00 115.53 90.00°
Fractional coordinates of all 6 atoms:
S  0.890  0.750  0.184
S  0.110  0.250  0.816
Cs  0.664  0.250  0.285
Cs  0.336  0.750  0.715
Au  0.000  0.000  0.000
Au  0.000  0.500  0.000

***

[7]
CsAuS after structural relaxation. Source: the Open Quantum Materials Database, functional GGA-PBE.

Results
DFT total energy: -3.542 eV/atom

Cell: 5.581 5.581 6.992 Å, 90.00 90.00 100.85°
Fractional coordinates of all 6 atoms:
Cs  0.629  0.371  0.750
Cs  0.371  0.629  0.250
S  0.820  0.180  0.250
S  0.180  0.820  0.750
Au  0.000  0.000  0.500
Au  0.000  0.000  0.000

***

[8]
CsAu3S5 after structural relaxation. Source: the Open Quantum Materials Database, functional GGA-PBE.

Results
DFT total energy: -3.482 eV/atom

Cell: 6.504 6.504 6.780 Å, 90.00 90.00 120.00°
Fractional coordinates of all 9 atoms:
S  0.667  0.333  0.728
S  0.667  0.333  0.272
S  0.333  0.667  0.272
S  0.333  0.667  0.728
S  0.000  0.000  0.500
Au  0.000  0.500  0.500
Au  0.500  0.000  0.500
Au  0.500  0.500  0.500
Cs  0.000  0.000  0.000

***

[9]
Cs2AuS2 after structural relaxation. Source: the Open Quantum Materials Database, functional GGA-PBE.

Results
DFT total energy: -3.313 eV/atom

Cell: 3.925 6.613 7.061 Å, 76.15 90.03 107.27°
Fractional coordinates of all 5 atoms:
Cs  0.838  0.677  0.711
Cs  0.162  0.323  0.289
S  0.898  0.795  0.191
S  0.102  0.205  0.809
Au  0.500  0.000  0.000

***

[10]
CsAu3SeS after structural relaxation. Source: the Open Quantum Materials Database, functional GGA-PBE.

Results
DFT total energy: -3.542 eV/atom

Cell: 6.520 6.520 5.466 Å, 90.00 90.00 120.00°
Fractional coordinates of all 6 atoms:
Cs  0.000  0.000  0.500
Au  0.006  0.503  0.004
Au  0.497  0.994  0.004
Au  0.497  0.503  0.004
S  0.333  0.667  0.268
Se  0.667  0.333  0.720

***

[11]
Cs2Au2SeS after structural relaxation. Source: the Open Quantum Materials Database, functional GGA-PBE.

Results
DFT total energy: -3.431 eV/atom

Cell: 7.150 5.631 5.631 Å, 79.59 90.00 90.00°
Fractional coordinates of all 6 atoms:
Cs  0.000  0.626  0.626
Cs  0.500  0.369  0.369
S  0.000  0.184  0.184
Au  0.757  0.003  0.003
Au  0.243  0.003  0.003
Se  0.500  0.814  0.814

***

[12]
CsSiAuSeS2 after structural relaxation. Source: the Open Quantum Materials Database, functional GGA-PBE.

Results
DFT total energy: -3.930 eV/atom

Cell: 9.004 9.004 9.984 Å, 90.00 90.00 157.32°
Fractional coordinates of all 12 atoms:
S  0.093  0.907  0.981
S  0.093  0.907  0.519
S  0.907  0.093  0.481
S  0.907  0.093  0.019
Cs  0.783  0.217  0.750
Cs  0.217  0.783  0.250
Au  0.106  0.894  0.750
Au  0.894  0.106  0.250
Se  0.458  0.542  0.750
Se  0.542  0.458  0.250
Si  0.500  0.500  0.500
Si  0.500  0.500  0.000

***

Question: Among the records above, which one has the lowest DFT total energy?
Answer: CsReTeAuS2